Material: CuAsS2
Method: DFT, GGA-PBE
State: optimized geometry

- calculated volume (Å³/cell) = 263
- M_tot (μB per formula unit) = 0.00
- raw formation energy (meV/atom) = -22

The structure in CIF format:
```
data_CuAsS2
_chemical_formula_sum 'Cu3 As3 S6'
_symmetry_space_group_name_H-M 'R -3 m'
_symmetry_Int_Tables_number 166
_symmetry_space_group_name_Hall '-R 3 2"'
_cell_length_a 3.8077
_cell_length_b 3.8077
_cell_length_c 20.9841
_cell_angle_alpha 90.00
_cell_angle_beta 90.00
_cell_angle_gamma 120.00
loop_
_atom_site_label
_atom_site_type_symbol
_atom_site_fract_x
_atom_site_fract_y
_atom_site_fract_z
Cu1 Cu 0.0000 0.0000 0.0000
As1 As 0.0000 0.0000 0.5000
S1 S 0.0000 0.0000 0.1013
```

=====

Material: Li7Ga2
Method: DFT, GGA-PBE
State: optimized geometry

- calculated volume (Å³/cell) = 146
- formation energy (meV/atom) = -190
- M_tot (μB per formula unit) = 0.00

The structure in CIF format:
```
data_Li7Ga2
_chemical_formula_sum 'Li7 Ga2'
_symmetry_space_group_name_H-M 'P -3 m 1'
_symmetry_Int_Tables_number 164
_symmetry_space_group_name_Hall '-P 3 2"'
_cell_length_a 4.5164
_cell_length_b 4.5164
_cell_length_c 8.2879
_cell_angle_alpha 90.00
_cell_angle_beta 90.00
_cell_angle_gamma 120.00
loop_
_atom_site_label
_atom_site_type_symbol
_atom_site_fract_x
_atom_site_fract_y
_atom_site_fract_z
Li1 Li 0.0000 0.0000 0.0000
Li2 Li 0.0000 0.0000 0.3230
Li3 Li 0.3333 0.6667 0.1046
Li4 Li 0.3333 0.6667 0.4327
Ga1 Ga 0.3333 0.6667 0.7704
```

=====

Material: TiPtS2Br
Method: DFT, GGA-PBE
State: optimized geometry

- calculated volume (Å³/cell) = 111
- M_tot (μB per formula unit) = 0.00
- raw formation energy (meV/atom) = 1264

The structure in CIF format:
```
data_TiPtS2Br
_chemical_formula_sum 'Ti1 Pt1 S2 Br1'
_symmetry_space_group_name_H-M 'P 4/m m m'
_symmetry_Int_Tables_number 123
_symmetry_space_group_name_Hall '-P 4 2'
_cell_length_a 4.8987
_cell_length_b 4.8987
_cell_length_c 4.6204
_cell_angle_alpha 90.00
_cell_angle_beta 90.00
_cell_angle_gamma 90.00
loop_
_atom_site_label
_atom_site_type_symbol
_atom_site_fract_x
_atom_site_fract_y
_atom_site_fract_z
Ti1 Ti 0.0000 0.0000 0.0000
Pt1 Pt 0.5000 0.5000 0.0000
S1 S 0.0000 0.5000 0.5000
Br1 Br 0.0000 0.0000 0.5000
```

=====

Material: HfInO2
Method: DFT, GGA-PBE
State: optimized geometry

- calculated volume (Å³/cell) = 263
- M_tot (μB per formula unit) = 0.46
- raw formation energy (meV/atom) = -2351

The structure in CIF format:
```
data_HfInO2
_chemical_formula_sum 'Hf3 In3 O6'
_symmetry_space_group_name_H-M 'R -3 m'
_symmetry_Int_Tables_number 166
_symmetry_space_group_name_Hall '-R 3 2"'
_cell_length_a 3.2440
_cell_length_b 3.2440
_cell_length_c 28.8833
_cell_angle_alpha 90.00
_cell_angle_beta 90.00
_cell_angle_gamma 120.00
loop_
_atom_site_label
_atom_site_type_symbol
_atom_site_fract_x
_atom_site_fract_y
_atom_site_fract_z
Hf1 Hf 0.0000 0.0000 0.0000
In1 In 0.0000 0.0000 0.5000
O1 O 0.0000 0.0000 0.3667
```